DFT (PBE-GGA) results for crystalline RbBa2I at its relaxed geometry.

Lattice parameters (Å, degrees): 9.5904 9.5904 9.5904 90.00 90.00 90.00
Closest atoms and distances in Å follow each position.
Element x y z (fractional)
Rb: 0.0000 0.0000 0.0000  8 Ba 4.15
Rb: 0.0000 0.5000 0.5000  8 Ba 4.15
Rb: 0.5000 0.0000 0.5000  8 Ba 4.15
Rb: 0.5000 0.5000 0.0000  8 Ba 4.15
Ba: 0.2500 0.2500 0.2500  4 Rb 4.15, 4 I 4.15
Ba: 0.2500 0.2500 0.7500  4 Rb 4.15, 4 I 4.15
Ba: 0.2500 0.7500 0.2500  4 Rb 4.15, 4 I 4.15
Ba: 0.2500 0.7500 0.7500  4 Rb 4.15, 4 I 4.15
Ba: 0.7500 0.2500 0.2500  4 Rb 4.15, 4 I 4.15
Ba: 0.7500 0.2500 0.7500  4 Rb 4.15, 4 I 4.15
Ba: 0.7500 0.7500 0.2500  4 Rb 4.15, 4 I 4.15
Ba: 0.7500 0.7500 0.7500  4 Rb 4.15, 4 I 4.15
I: 0.0000 0.0000 0.5000  8 Ba 4.15
I: 0.0000 0.5000 0.0000  8 Ba 4.15
I: 0.5000 0.0000 0.0000  8 Ba 4.15
I: 0.5000 0.5000 0.5000  8 Ba 4.15

Properties
The value obtained for the relative energy among the computed polymorphs is 7.76 kcal/mol of atoms. The calculation puts the magnetization at 0.4933 μB per atom.



DFT (PBE-GGA) results for crystalline Li2CaZr at its relaxed geometry.

Lattice parameters (Å, degrees): 10.5107 3.0432 6.3076 90.00 95.11 90.00
Closest atoms and distances in Å follow each position.
Element x y z (fractional)
Li: 0.2459 0.0000 0.2177  4 Li 3.04-3.15, 3 Zr 3.11-3.20, 1 Ca 3.27
Li: 0.2541 0.5000 0.7823  4 Li 3.04-3.15, 3 Zr 3.11-3.20, 1 Ca 3.27
Li: 0.7459 0.5000 0.2177  4 Li 3.04-3.15, 3 Zr 3.11-3.20, 1 Ca 3.27
Li: 0.7541 0.0000 0.7823  4 Li 3.04-3.15, 3 Zr 3.11-3.20, 1 Ca 3.27
Ca: 0.0000 0.0000 0.5000  2 Ca 3.04, 2 Li 3.27
Ca: 0.5000 0.5000 0.5000  2 Ca 3.04, 2 Li 3.27
Zr: 0.0000 0.5000 0.0000  2 Zr 3.04, 6 Li 3.11-3.20
Zr: 0.5000 0.0000 0.0000  2 Zr 3.04, 6 Li 3.11-3.20

Properties
The value obtained for the relative energy among the computed polymorphs is 2.26 kcal/mol of atoms. The calculation puts the magnetization at 0.0123 μB per atom. The formation enthalpy at 0 K is 34.2 kJ/mol of atoms.



DFT (PBE-GGA) results for crystalline PIr3Pb at its relaxed geometry.

Lattice parameters (Å, degrees): 4.5270 4.5270 4.5270 90.00 90.00 90.00
Closest atoms and distances in Å follow each position.
Element x y z (fractional)
P: 0.0000 0.0000 0.0000  6 Ir 2.26
Ir: 0.0000 0.0000 0.5000  2 P 2.26
Ir: 0.0000 0.5000 0.0000  2 P 2.26
Ir: 0.5000 0.0000 0.0000  2 P 2.26
Pb: 0.5000 0.5000 0.5000  12 Ir 3.20

Properties
The value obtained for the relative energy among the computed polymorphs is 0.00 kcal/mol of atoms. The calculation puts the magnetization at 0.0000 μB per atom. The formation enthalpy at 0 K is 44.6 kJ/mol of atoms.



DFT (PBE-GGA) results for crystalline PrHo7Th2 at its relaxed geometry.

Lattice parameters (Å, degrees): 8.4175 8.4175 5.5572 109.19 109.19 84.67
Closest atoms and distances in Å follow each position.
Element x y z (fractional)
Pr: 0.0000 0.0000 0.0000  4 Ho 3.30, 4 Th 3.30
Ho: 0.1013 0.4039 0.2526  5 Ho 3.25-3.57, 1 Pr 3.30, 1 Th 3.51
Ho: 0.3363 0.6637 0.0000  5 Ho 3.34-3.71, 2 Th 3.45
Ho: 0.4039 0.1013 0.2526  5 Ho 3.25-3.57, 1 Pr 3.30, 1 Th 3.51
Ho: 0.5000 0.5000 0.5000  8 Ho 3.25-3.34
Ho: 0.5961 0.8987 0.7474  5 Ho 3.25-3.57, 1 Pr 3.30, 1 Th 3.51
Ho: 0.6637 0.3363 0.0000  5 Ho 3.34-3.71, 2 Th 3.45
Ho: 0.8987 0.5961 0.7474  5 Ho 3.25-3.57, 1 Pr 3.30, 1 Th 3.51
Th: 0.1566 0.8434 0.5000  2 Pr 3.30, 4 Ho 3.45-3.51, 1 Th 3.55
Th: 0.8434 0.1566 0.5000  2 Pr 3.30, 4 Ho 3.45-3.51, 1 Th 3.55

Properties
The calculation puts the magnetization at 0.0000 μB per atom. The formation enthalpy at 0 K is 42.5 kJ/mol of atoms.



DFT (PBE-GGA) results for crystalline Ac2CdI2N2 at its relaxed geometry.

Lattice parameters (Å, degrees): 12.4692 4.2313 8.9475 90.00 121.89 90.00
Closest atoms and distances in Å follow each position.
Element x y z (fractional)
Ac: 0.2007 0.0000 0.2943  3 N 2.48-2.49
Ac: 0.2993 0.5000 0.7057  3 N 2.48-2.49
Ac: 0.7007 0.5000 0.2943  3 N 2.48-2.49
Ac: 0.7993 0.0000 0.7057  3 N 2.48-2.49
Cd: 0.0000 0.0000 0.5000  2 N 2.10
Cd: 0.5000 0.5000 0.5000  2 N 2.10
I: 0.0822 0.5000 0.8714  2 Cd 3.60, 5 Ac 3.69-3.88, 1 I 3.80
I: 0.4178 0.0000 0.1286  2 Cd 3.60, 5 Ac 3.69-3.88, 1 I 3.80
I: 0.5822 0.0000 0.8714  2 Cd 3.60, 5 Ac 3.69-3.88, 1 I 3.80
I: 0.9178 0.5000 0.1286  2 Cd 3.60, 5 Ac 3.69-3.88, 1 I 3.80
N: 0.1869 0.0000 0.5604  1 Cd 2.10
N: 0.3131 0.5000 0.4396  1 Cd 2.10
N: 0.6869 0.5000 0.5604  1 Cd 2.10
N: 0.8131 0.0000 0.4396  1 Cd 2.10

Properties
The uncorrected energy is -5.242 eV/atom. The calculation puts the magnetization at 0.0000 μB per atom.



DFT (PBE-GGA) results for crystalline AcGa2SnPt at its relaxed geometry.

Lattice parameters (Å, degrees): 4.5239 4.6858 10.8954 90.00 90.00 90.00
Closest atoms and distances in Å follow each position.
Element x y z (fractional)
Ac: 0.0000 0.0000 0.0000  8 Ga 3.39-3.64, 4 Sn 3.53-3.60, 4 Pt 3.60
Ac: 0.5000 0.5000 0.5000  8 Ga 3.39-3.64, 4 Sn 3.53-3.60, 4 Pt 3.60
Ga: 0.0000 0.0000 0.4127  1 Pt 2.48
Ga: 0.0000 0.5000 0.2559  2 Pt 2.59, 2 Ga 2.90
Ga: 0.5000 0.0000 0.7559  2 Pt 2.59, 2 Ga 2.90
Ga: 0.5000 0.5000 0.9127  1 Pt 2.48
Sn: 0.0000 0.5000 0.7571  2 Pt 2.67, 2 Ga 2.83
Sn: 0.5000 0.0000 0.2571  2 Pt 2.67, 2 Ga 2.83
Pt: 0.0000 0.0000 0.6400  3 Ga 2.48-2.59, 2 Sn 2.67
Pt: 0.5000 0.5000 0.1400  3 Ga 2.48-2.59, 2 Sn 2.67

Properties
The calculation puts the magnetization at 0.0000 μB per atom. The formation enthalpy at 0 K is -75.5 kJ/mol of atoms.